A relaxed structure of Dy12ZrTl3, computed with PBE.

```
16
Lattice="4.832 0.000 0.000 0.000 4.832 0.000 0.000 0.000 19.661" Properties=species:S:1:pos:R:3 pbc="T T T"
Dy 0.000 0.000 0.000
Dy 0.000 0.000 4.885
Dy 0.000 0.000 9.831
Dy 0.000 0.000 14.776
Dy 0.000 2.416 2.450
Dy 0.000 2.416 7.402
Dy 0.000 2.416 12.260
Dy 0.000 2.416 17.211
Dy 2.416 0.000 2.450
Dy 2.416 0.000 7.402
Dy 2.416 0.000 12.260
Dy 2.416 0.000 17.211
Zr 2.416 2.416 9.831
Tl 2.416 2.416 0.000
Tl 2.416 2.416 4.842
Tl 2.416 2.416 14.819
```

DFT formation energy = -0.120 eV per atom
crystal system = tetragonal
symmetry = P4/mmm


A relaxed structure of NbCdPdRuI, computed with PBE.

```
5
Lattice="5.008 -1.725 0.000 5.008 1.725 0.000 -2.963 0.000 6.435" Properties=species:S:1:pos:R:3 pbc="T T T"
Nb 0.000 0.000 0.000
Cd 7.250 0.000 1.064
Pd 3.166 0.000 4.648
Ru 0.483 0.000 5.618
I -0.193 0.000 2.935
```

E above lowest polymorph = 1.075 eV/f.u.
E_form (uncorrected) = 0.224 eV/atom
crystal system = monoclinic
symmetry = Cm


A relaxed structure of GaH3, computed with PBE.

```
4
Lattice="2.464 -1.418 0.000 2.464 1.418 0.000 -0.929 0.000 6.896" Properties=species:S:1:pos:R:3 pbc="T T T"
Ga 0.000 0.000 0.000
H 0.998 0.000 3.943
H 1.459 0.000 3.350
H 2.473 0.000 1.185
```

crystal system = monoclinic
symmetry = Cm


A relaxed structure of ZrNb2Mo, computed with PBE.

```
4
Lattice="3.264 0.000 0.000 0.000 3.264 0.000 0.000 0.000 7.009" Properties=species:S:1:pos:R:3 pbc="T T T"
Zr 0.000 0.000 0.000
Nb 1.632 1.632 1.940
Nb 1.632 1.632 5.069
Mo 0.000 0.000 3.504
```

E above lowest polymorph = 0.077 eV/f.u.
DFT formation energy = -0.019 eV per atom
crystal system = tetragonal
symmetry = P4/mmm


| no. | E_tot (eV per atom) |
| --- | --- |
| 1 | -4.5497 |
| 2 | -5.1766 |
| 3 | -3.0671 |
| 4 | -9.8990 |